EuZnNi PBE relaxed; density of states at the Fermi level = 3.395 states/eV/atom; DFT formation energy = -243 meV per atom
1.0
4.073 0.000 0.000
0.000 4.224 0.000
0.000 -2.112 3.658
Eu Ni Zn
1 1 1
direct
0.667 0.333 0.667
0.167 0.000 0.000
0.167 0.667 0.333

***

EuZn2Ni PBE relaxed; density of states at the Fermi level = 0.704 states/eV/atom; DFT formation energy = -127 meV per atom
1.0
-1.627 -2.727 -0.384
0.274 -0.605 3.129
-6.011 3.420 1.188
Zn Ni Eu
2 1 1
direct
0.000 0.000 0.820
0.000 0.000 0.180
0.500 0.500 0.000
0.500 0.500 0.500

***

Eu3ZnNi PBE relaxed; density of states at the Fermi level = 4.629 states/eV/atom; DFT formation energy = 9 meV per atom
1.0
5.476 0.000 0.000
0.000 5.476 0.000
0.000 0.000 5.476
Eu Zn Ni
3 1 1
direct
0.500 0.000 0.000
0.000 0.500 0.000
0.000 0.000 0.500
0.500 0.500 0.500
0.000 0.000 0.000

***

EuZn2Ni PBE relaxed; density of states at the Fermi level = 2.381 states/eV/atom; DFT formation energy = -239 meV per atom
1.0
-1.764 -0.861 3.733
0.195 -3.908 1.573
3.978 -0.398 4.171
Zn Eu Ni
2 1 1
direct
0.199 0.199 0.403
0.801 0.801 0.597
0.000 0.000 0.000
0.500 0.500 0.500

***

EuZnNi PBE relaxed; density of states at the Fermi level = 2.354 states/eV/atom; DFT formation energy = -113 meV per atom
1.0
3.350 0.000 0.000
0.000 3.350 0.000
-1.675 -1.675 5.173
Ni Zn Eu
1 1 1
direct
0.245 0.245 0.489
0.660 0.660 0.319
0.946 0.946 0.891

***

EuZrNi4 PBE relaxed; density of states at the Fermi level = 1.265 states/eV/atom; DFT formation energy = -245 meV per atom
1.0
-1.511 4.754 0.612
-3.634 1.077 3.301
1.105 2.462 4.240
Ni Eu Zr
4 1 1
direct
0.126 0.625 0.625
0.625 0.625 0.126
0.625 0.126 0.625
0.625 0.625 0.625
0.000 0.000 0.000
0.250 0.250 0.250